The following is a DFT calculation (PBE-GGA) of crystalline Na8TlHg6 at its relaxed geometry.

Cell lengths 8.9809, 8.9809, 19.2551 Å; angles 90.00, 90.00, 120.00 degrees
Space group R-3 (No. 148, hexagonal axes)
Inequivalent atoms, fractional coordinates:
Na: 0.0000 0.0000 0.1636 x6
Na: 0.0076 0.3157 0.6149 x18
Tl: 0.0000 0.0000 0.5000 x3
Hg: 0.0053 0.3526 0.4467 x18

Summary:
For the formation energy, the calculation gives -0.16 eV/atom. The magnetization comes out at 0.0 μB per formula unit.